1.
A geometry-optimized LiSi2As structure, computed with PBE.

Cell lengths 8.5535, 8.5535, 8.5535 Å; angles 20.16, 20.16, 20.16 degrees
With the nearest neighbours (Å) after each atom.
Fractional coordinates of all 4 atoms:
Li1 0.0000 0.0000 0.0000  3 As 2.73, 3 Si 2.74, 6 Li 2.99
Si1 0.4922 0.4922 0.4922  3 Si 2.55, 3 As 2.85
Si2 0.7510 0.7510 0.7510  3 Si 2.55, 3 Li 2.74
As1 0.2490 0.2490 0.2490  3 Li 2.73, 3 Si 2.85, 6 As 2.99

Properties
- Formation energy without anion corrections: 0.262 eV/atom


2.
A geometry-optimized LiTa2In structure, computed with PBE.

Cell lengths 5.3965, 5.3965, 2.8834 Å; angles 90.00, 90.00, 119.66 degrees
With the nearest neighbours (Å) after each atom.
Fractional coordinates of all 4 atoms:
Li1 0.0000 0.0000 0.0000  2 In 2.71, 2 Li 2.88
Ta1 0.0000 0.5000 0.5000  4 Ta 2.71-2.88
Ta2 0.5000 0.0000 0.5000  4 Ta 2.71-2.88
In1 0.5000 0.5000 0.0000  2 Li 2.71, 2 In 2.88

Properties
- Energy relative to the elements: 0.31 eV per atom


3.
A geometry-optimized BaCa2Zn structure, computed with PBE.

Cell lengths 11.2562, 11.2562, 11.2562 Å; angles 21.09, 21.09, 21.09 degrees
With the nearest neighbours (Å) after each atom.
Fractional coordinates of all 4 atoms:
Ba1 0.0000 0.0000 0.0000  6 Ba 4.12, 6 Ca 4.25
Ca1 0.2266 0.2266 0.2266  3 Zn 3.09
Ca2 0.7734 0.7734 0.7734  3 Zn 3.09
Zn1 0.5000 0.5000 0.5000  6 Ca 3.09

Properties
- Energy relative to the elements: -0.02 eV per atom